SnAsPtSe2: relaxed, PBE.

Unit cell a=5.1472 b=5.1472 c=5.2508 alpha=90.00 beta=90.00 gamma=90.00
Sites, in units of the cell vectors:
As 0.0000 0.0000 0.5000
Se 0.0000 0.5000 0.0000
Se 0.5000 0.0000 0.0000
Sn 0.0000 0.0000 0.0000
Pt 0.5000 0.5000 0.5000

Output
Excess energy over the best structure of this formula in the dataset = 4.539 eV per formula unit
SG = P4/mmm, No. 123
Formation energy without anion corrections = 1137.2 meV/atom
DOS(E_F) = 7.81 states/eV/cell



SrAs2PtSe: relaxed, PBE.

Unit cell a=4.8742 b=4.8742 c=5.4889 alpha=90.00 beta=90.00 gamma=90.00
Sites, in units of the cell vectors:
Sr 0.5000 0.5000 0.5000
As 0.0000 0.5000 0.0000
As 0.5000 0.0000 0.0000
Se 0.0000 0.0000 0.5000
Pt 0.0000 0.0000 0.0000

Output
Excess energy over the best structure of this formula in the dataset = 0.000 eV per formula unit
SG = P4/mmm, No. 123
Formation energy without anion corrections = -320.3 meV/atom
DOS(E_F) = 4.34 states/eV/cell



SrAs2PtSe: relaxed, PBE.

Unit cell a=5.5905 b=5.5905 c=5.4908 alpha=90.00 beta=90.00 gamma=90.00
Sites, in units of the cell vectors:
Sr 0.0000 0.0000 0.0000
As 0.0000 0.5000 0.0000
As 0.5000 0.0000 0.0000
Se 0.0000 0.0000 0.5000
Pt 0.5000 0.5000 0.5000

Output
Excess energy over the best structure of this formula in the dataset = 8.344 eV per formula unit
SG = P4/mmm, No. 123
Formation energy without anion corrections = 1348.6 meV/atom
DOS(E_F) = 7.97 states/eV/cell



TaAsPtSe2: relaxed, PBE.

Unit cell a=4.8796 b=4.8796 c=4.7659 alpha=90.00 beta=90.00 gamma=90.00
Sites, in units of the cell vectors:
As 0.0000 0.0000 0.5000
Se 0.0000 0.5000 0.0000
Se 0.5000 0.0000 0.0000
Pt 0.0000 0.0000 0.0000
Ta 0.5000 0.5000 0.5000

Output
Excess energy over the best structure of this formula in the dataset = 1.801 eV per formula unit
SG = P4/mmm, No. 123
Formation energy without anion corrections = 950.7 meV/atom
DOS(E_F) = 5.61 states/eV/cell



TaAsPtSe2: relaxed, PBE.

Unit cell a=4.9127 b=4.9127 c=5.0397 alpha=90.00 beta=90.00 gamma=90.00
Sites, in units of the cell vectors:
As 0.0000 0.0000 0.5000
Se 0.0000 0.5000 0.0000
Se 0.5000 0.0000 0.0000
Pt 0.5000 0.5000 0.5000
Ta 0.0000 0.0000 0.0000

Output
Excess energy over the best structure of this formula in the dataset = 0.000 eV per formula unit
SG = P4/mmm, No. 123
Formation energy without anion corrections = 590.5 meV/atom
DOS(E_F) = 6.35 states/eV/cell



Tb6AsPt2Se3: relaxed, PBE.

Unit cell a=4.0551 b=8.4105 c=9.3795 alpha=105.60 beta=102.48 gamma=90.00
Sites, in units of the cell vectors:
Tb 0.3334 0.8899 0.6669
Tb 0.6680 0.5829 0.3359
Tb 0.6666 0.1101 0.3331
Tb 0.0067 0.2476 0.0133
Tb 0.9933 0.7524 0.9867
Tb 0.3320 0.4171 0.6641
As 0.5000 0.0000 0.0000
Pt 0.8299 0.6521 0.6598
Pt 0.1701 0.3479 0.3402
Se 0.5000 0.5000 0.0000
Se 0.8381 0.1544 0.6762
Se 0.1619 0.8456 0.3238

Output
SG = C2/m, No. 12
Formation energy without anion corrections = -1545.3 meV/atom
DOS(E_F) = 7.59 states/eV/cell



Tb4AsPtSe2: relaxed, PBE.

Unit cell a=4.0775 b=7.2321 c=7.1563 alpha=70.96 beta=90.00 gamma=90.00
Sites, in units of the cell vectors:
Tb 0.0000 0.7341 0.7612
Tb 0.0000 0.2659 0.2388
Tb 0.5000 0.7402 0.2520
Tb 0.5000 0.2598 0.7480
As 0.0000 0.5000 0.5000
Pt 0.5000 0.5000 0.0000
Se 0.0000 0.0000 0.0000
Se 0.5000 0.0000 0.5000

Output
SG = P2/m, No. 10
Formation energy without anion corrections = -1568.0 meV/atom
DOS(E_F) = 5.50 states/eV/cell



TcAs2PtSe: relaxed, PBE.

Unit cell a=4.7827 b=4.7827 c=4.7277 alpha=90.00 beta=90.00 gamma=90.00
Sites, in units of the cell vectors:
As 0.0000 0.5000 0.0000
As 0.5000 0.0000 0.0000
Se 0.0000 0.0000 0.5000
Tc 0.0000 0.0000 0.0000
Pt 0.5000 0.5000 0.5000

Output
Excess energy over the best structure of this formula in the dataset = 0.000 eV per formula unit
SG = P4/mmm, No. 123
Formation energy without anion corrections = 736.6 meV/atom
DOS(E_F) = 5.59 states/eV/cell



| no. | E_tot (eV/atom) |
| --- | --- |
| 1 | -3.1953 |
| 2 | -4.4215 |
| 3 | -2.7527 |
| 4 | -4.9517 |
| 5 | -5.3119 |
| 6 | -6.1258 |
| 7 | -6.0905 |
| 8 | -5.1014 |